[1]
This record from Alexandria describes an optimized crystal structure of Gd2TmAg. The functional is PBE.

Summary:
Calculated total energy, eV/atom: -8.89
Fermi-level density of states, states/eV/atom: 1.16
ΔE_f, eV/atom: -0.0230

Lattice parameters (Å, degrees): 5.4366 5.4366 3.7309 90.00 90.00 90.00
Fractional positions:
Gd: 0.0000 0.5000 0.0000
Gd: 0.5000 0.0000 0.0000
Tm: 0.0000 0.0000 0.5000
Ag: 0.5000 0.5000 0.5000



[2]
This record from Alexandria describes an optimized crystal structure of Fe2TeS. The functional is PBE.

Summary:
Calculated total energy, eV/atom: -6.03
Fermi-level density of states, states/eV/atom: 0.91
Raw formation energy, eV/f.u.: 0.09

Lattice parameters (Å, degrees): 6.6257 6.6257 6.6257 134.47 134.47 66.35
Fractional positions:
Fe: 0.0598 0.6250 0.9348
Fe: 0.3750 0.3098 0.4348
Fe: 0.6902 0.1250 0.0652
Fe: 0.8750 0.9402 0.5652
Te: 0.2500 0.7500 0.5000
Te: 0.5000 0.5000 0.0000
S: 0.0000 0.0000 0.0000
S: 0.7500 0.2500 0.5000



[3]
This record from Alexandria describes an optimized crystal structure of ZrCo3Ag. The functional is PBE.

Summary:
Calculated total energy, eV/atom: -5.18
Fermi-level density of states, states/eV/atom: 2.64
ΔE_f, eV/atom: 1.3669

Lattice parameters (Å, degrees): 4.5656 4.5656 4.5656 90.00 90.00 90.00
Fractional positions:
Zr: 0.0000 0.0000 0.0000
Co: 0.0000 0.5000 0.5000
Co: 0.5000 0.0000 0.5000
Co: 0.5000 0.5000 0.0000
Ag: 0.5000 0.5000 0.5000



[4]
This record from Alexandria describes an optimized crystal structure of NaZrNi3. The functional is PBE.

Summary:
Calculated total energy, eV/atom: -4.40
Fermi-level density of states, states/eV/atom: 1.82
ΔE_f, eV/atom: 1.0462

Lattice parameters (Å, degrees): 4.3116 4.3116 4.3116 90.00 90.00 90.00
Fractional positions:
Na: 0.0000 0.0000 0.0000
Zr: 0.5000 0.5000 0.5000
Ni: 0.0000 0.0000 0.5000
Ni: 0.0000 0.5000 0.0000
Ni: 0.5000 0.0000 0.0000



[5]
This record from Alexandria describes an optimized crystal structure of Na2PrTl9. The functional is PBE.

Summary:
Calculated total energy, eV/atom: -2.52
Fermi-level density of states, states/eV/atom: 0.55
ΔE_f, eV/atom: -0.1308

Lattice parameters (Å, degrees): 4.8512 4.8512 14.7013 90.00 90.00 90.00
Fractional positions:
Na: 0.0000 0.0000 0.1712
Na: 0.0000 0.0000 0.8288
Pr: 0.0000 0.0000 0.5000
Tl: 0.0000 0.5000 0.0000
Tl: 0.0000 0.5000 0.3324
Tl: 0.0000 0.5000 0.6676
Tl: 0.5000 0.0000 0.0000
Tl: 0.5000 0.0000 0.3324
Tl: 0.5000 0.0000 0.6676
Tl: 0.5000 0.5000 0.1701
Tl: 0.5000 0.5000 0.5000
Tl: 0.5000 0.5000 0.8299



[6]
This record from Alexandria describes an optimized crystal structure of SrZr2Pt2. The functional is PBE.

Summary:
Calculated total energy, eV/atom: -6.79
Fermi-level density of states, states/eV/atom: 1.00
ΔE_f, eV/atom: -0.6208

Lattice parameters (Å, degrees): 8.4892 8.4892 2.9761 90.00 90.00 90.00
Fractional positions:
Sr: 0.0000 0.0000 0.0000
Sr: 0.5000 0.5000 0.0000
Zr: 0.1340 0.3660 0.0000
Zr: 0.3660 0.8660 0.0000
Zr: 0.6340 0.1340 0.0000
Zr: 0.8660 0.6340 0.0000
Pt: 0.1613 0.6613 0.5000
Pt: 0.3387 0.1613 0.5000
Pt: 0.6613 0.8387 0.5000
Pt: 0.8387 0.3387 0.5000



[7]
This record from Alexandria describes an optimized crystal structure of Rb2Au2I5. The functional is PBE.

Summary:
Calculated total energy, eV/atom: -2.47
Fermi-level density of states, states/eV/atom: 0.22
Raw formation energy, eV/f.u.: -5.99

Lattice parameters (Å, degrees): 10.2975 10.2975 7.7295 107.07 107.07 32.63
Fractional positions:
Rb: 0.1092 0.1092 0.3018
Rb: 0.8908 0.8908 0.6982
Au: 0.4051 0.4051 0.2068
Au: 0.5949 0.5949 0.7932
I: 0.0916 0.0916 0.7962
I: 0.3136 0.3136 0.4063
I: 0.5000 0.5000 0.0000
I: 0.6864 0.6864 0.5937
I: 0.9084 0.9084 0.2038



[8]
This record from Alexandria describes an optimized crystal structure of CsLa2Mg2. The functional is PBE.

Summary:
Calculated total energy, eV/atom: -2.53
Fermi-level density of states, states/eV/atom: 1.30
ΔE_f, eV/atom: 0.2470

Lattice parameters (Å, degrees): 10.3548 10.3548 3.5524 90.00 90.00 90.00
Fractional positions:
Cs: 0.0000 0.0000 0.0000
Cs: 0.5000 0.5000 0.0000
La: 0.1670 0.3330 0.5000
La: 0.3330 0.8330 0.5000
La: 0.6670 0.1670 0.5000
La: 0.8330 0.6670 0.5000
Mg: 0.1172 0.6172 0.0000
Mg: 0.3828 0.1172 0.0000
Mg: 0.6172 0.8828 0.0000
Mg: 0.8828 0.3828 0.0000



[9]
This record from Alexandria describes an optimized crystal structure of AcGdYGa. The functional is PBE.

Summary:
Calculated total energy, eV/atom: -6.90
Fermi-level density of states, states/eV/atom: 1.35
ΔE_f, eV/atom: 0.0200

Lattice parameters (Å, degrees): 5.5225 5.5225 5.5225 60.00 60.00 60.00
Fractional positions:
Ac: 0.0000 0.0000 0.0000
Gd: 0.7500 0.7500 0.7500
Y: 0.2500 0.2500 0.2500
Ga: 0.5000 0.5000 0.5000



[10]
This record from Alexandria describes an optimized crystal structure of TmPaBe17. The functional is PBE.

Summary:
Calculated total energy, eV/atom: -4.18
Fermi-level density of states, states/eV/atom: 0.29
ΔE_f, eV/atom: -0.1148

Lattice parameters (Å, degrees): 5.8277 5.8277 5.8277 82.82 82.82 82.82
Fractional positions:
Tm: 0.0000 0.0000 0.0000
Pa: 0.3208 0.3208 0.3208
Be: 0.1623 0.6599 0.6599
Be: 0.3223 0.3223 0.8185
Be: 0.3223 0.8185 0.3223
Be: 0.3827 0.6616 0.9399
Be: 0.3827 0.9399 0.6616
Be: 0.5056 0.9983 0.9983
Be: 0.5658 0.5658 0.5658
Be: 0.6599 0.1623 0.6599
Be: 0.6599 0.6599 0.1623
Be: 0.6616 0.3827 0.9399
Be: 0.6616 0.9399 0.3827
Be: 0.7557 0.7557 0.7557
Be: 0.8185 0.3223 0.3223
Be: 0.9399 0.3827 0.6616
Be: 0.9399 0.6616 0.3827
Be: 0.9983 0.5056 0.9983
Be: 0.9983 0.9983 0.5056



[11]
This record from Alexandria describes an optimized crystal structure of PmHgTe. The functional is PBE.

Summary:
Calculated total energy, eV/atom: -3.47
Fermi-level density of states, states/eV/atom: 1.02
Raw formation energy, eV/f.u.: -2.23

Lattice parameters (Å, degrees): 6.0225 6.0225 6.0225 141.20 141.20 56.04
Fractional positions:
Pm: 0.0000 0.0000 0.0000
Hg: 0.6681 0.6681 0.0000
Te: 0.3455 0.3455 0.0000



[12]
This record from Alexandria describes an optimized crystal structure of TlAg7Pd4. The functional is PBE.

Summary:
Calculated total energy, eV/atom: -3.40
Fermi-level density of states, states/eV/atom: 0.44
ΔE_f, eV/atom: 0.1960

Lattice parameters (Å, degrees): 5.8364 5.8364 10.0610 117.47 117.47 51.96
Fractional positions:
Tl: 0.0000 0.0000 0.0000
Ag: 0.1082 0.1082 0.4496
Ag: 0.2951 0.2951 0.0873
Ag: 0.3437 0.3437 0.3819
Ag: 0.5000 0.5000 0.0000
Ag: 0.6563 0.6563 0.6181
Ag: 0.7049 0.7049 0.9127
Ag: 0.8918 0.8918 0.5504
Pd: 0.1918 0.1918 0.7702
Pd: 0.4070 0.4070 0.6855
Pd: 0.5930 0.5930 0.3145
Pd: 0.8082 0.8082 0.2298



[13]
This record from Alexandria describes an optimized crystal structure of Ce5Zn2Ge5. The functional is PBE.

Summary:
Calculated total energy, eV/atom: -5.11
Fermi-level density of states, states/eV/atom: 1.41
ΔE_f, eV/atom: -0.5026

Lattice parameters (Å, degrees): 7.2748 7.2748 11.2962 118.72 118.72 33.48
Fractional positions:
Ce: 0.0000 0.0000 0.0000
Ce: 0.1599 0.1599 0.5264
Ce: 0.1759 0.1759 0.7930
Ce: 0.8241 0.8241 0.2070
Ce: 0.8401 0.8401 0.4736
Zn: 0.4301 0.4301 0.7221
Zn: 0.5699 0.5699 0.2779
Ge: 0.1894 0.1894 0.2811
Ge: 0.3818 0.3818 0.0644
Ge: 0.5000 0.5000 0.5000
Ge: 0.6182 0.6182 0.9356
Ge: 0.8106 0.8106 0.7189



[14]
This record from Alexandria describes an optimized crystal structure of ReNiB. The functional is PBE.

Summary:
Calculated total energy, eV/atom: -8.19
Fermi-level density of states, states/eV/atom: 0.82
ΔE_f, eV/atom: 0.1163

Lattice parameters (Å, degrees): 4.8210 4.8210 4.8210 147.95 147.95 45.96
Fractional positions:
Re: 0.0000 0.0000 0.0000
Ni: 0.2845 0.2845 0.0000
B: 0.6604 0.6604 0.0000



[15]
This record from Alexandria describes an optimized crystal structure of TaCr2Sb. The functional is PBE.

Summary:
Calculated total energy, eV/atom: -8.57
Fermi-level density of states, states/eV/atom: 1.13
Raw formation energy, eV/f.u.: 0.95

Lattice parameters (Å, degrees): 5.1490 5.1490 5.1490 136.22 136.22 63.64
Fractional positions:
Ta: 0.0000 0.0000 0.0000
Cr: 0.2500 0.7500 0.5000
Cr: 0.5000 0.5000 0.0000
Sb: 0.7500 0.2500 0.5000



[16]
This record from Alexandria describes an optimized crystal structure of Mg3Co. The functional is PBE.

Summary:
Calculated total energy, eV/atom: -2.74
Fermi-level density of states, states/eV/atom: 1.12
ΔE_f, eV/atom: 0.2336

Lattice parameters (Å, degrees): 5.2259 5.2259 5.2259 90.00 90.00 90.00
Fractional positions:
Mg: 0.0000 0.2500 0.5000
Mg: 0.0000 0.7500 0.5000
Mg: 0.2500 0.5000 0.0000
Mg: 0.5000 0.0000 0.2500
Mg: 0.5000 0.0000 0.7500
Mg: 0.7500 0.5000 0.0000
Co: 0.0000 0.0000 0.0000
Co: 0.5000 0.5000 0.5000



[17]
This record from Alexandria describes an optimized crystal structure of ScCdOF2. The functional is PBE.

Summary:
Calculated total energy, eV/atom: -5.77
Fermi-level density of states, states/eV/atom: 0.57
Raw formation energy, eV/f.u.: -12.92

Lattice parameters (Å, degrees): 4.2013 4.2013 4.1049 90.00 90.00 90.00
Fractional positions:
Sc: 0.0000 0.0000 0.0000
Cd: 0.5000 0.5000 0.5000
O: 0.0000 0.0000 0.5000
F: 0.0000 0.5000 0.0000
F: 0.5000 0.0000 0.0000



[18]
This record from Alexandria describes an optimized crystal structure of RbSrSc2. The functional is PBE.

Summary:
Calculated total energy, eV/atom: -2.90
Fermi-level density of states, states/eV/atom: 1.59
ΔE_f, eV/atom: 0.9319

Lattice parameters (Å, degrees): 7.5044 7.5044 7.5044 101.46 101.46 127.05
Fractional positions:
Rb: 0.0000 0.0000 0.0000
Rb: 0.7500 0.2500 0.5000
Sr: 0.2500 0.7500 0.5000
Sr: 0.5000 0.5000 0.0000
Sc: 0.1164 0.6250 0.9914
Sc: 0.3750 0.3664 0.4914
Sc: 0.6336 0.1250 0.0086
Sc: 0.8750 0.8836 0.5086



[19]
This record from Alexandria describes an optimized crystal structure of YNiRhAu2. The functional is PBE.

Summary:
Calculated total energy, eV/atom: -5.17
Fermi-level density of states, states/eV/atom: 0.66
ΔE_f, eV/atom: 0.0620

Lattice parameters (Å, degrees): 4.7619 4.7619 4.5598 90.00 90.00 90.00
Fractional positions:
Y: 0.0000 0.0000 0.0000
Ni: 0.5000 0.5000 0.5000
Rh: 0.5000 0.5000 0.0000
Au: 0.0000 0.5000 0.5000
Au: 0.5000 0.0000 0.5000



[20]
This record from Alexandria describes an optimized crystal structure of Li4C. The functional is PBE.

Summary:
Calculated total energy, eV/atom: -2.41
Fermi-level density of states, states/eV/atom: 0.53
ΔE_f, eV/atom: 0.9620

Lattice parameters (Å, degrees): 7.3412 7.3412 7.3412 154.88 154.88 35.82
Fractional positions:
Li: 0.0771 0.0771 0.0000
Li: 0.2500 0.7500 0.5000
Li: 0.7500 0.2500 0.5000
Li: 0.9229 0.9229 0.0000
C: 0.5000 0.5000 0.0000